Entry 1:
DFT (PBEsol) results for an optimized crystal structure of AcAg3.

Results
ΔH_f (0 K) = -0.68 eV per formula unit
crystal system = hexagonal

Cell: 6.7561 6.7561 4.7938 Å, 90.00 90.00 120.00°
Space group P6_3/mmc (No. 194)
One atom of each set of equivalent atoms:
Ac: 0.3333 0.6667 0.2500 (multiplicity 2)
Ag: 0.1395 0.2790 0.7500 (multiplicity 6)

***

Entry 2:
DFT (PBEsol) results for an optimized crystal structure of AcAgAu2.

Results
ΔH_f (0 K) = -1.97 eV per formula unit
crystal system = cubic

Cell: 7.1793 7.1793 7.1793 Å, 90.00 90.00 90.00°
Space group Fm-3m (No. 225)
One atom of each set of equivalent atoms:
Ac: 0.0000 0.0000 0.0000 (multiplicity 4)
Ag: 0.0000 0.0000 0.5000 (multiplicity 4)
Au: 0.2500 0.2500 0.2500 (multiplicity 8)

***

Entry 3:
DFT (PBEsol) results for an optimized crystal structure of AcAg2Sn.

Results
ΔH_f (0 K) = -1.42 eV per formula unit
crystal system = cubic

Cell: 7.2715 7.2715 7.2715 Å, 90.00 90.00 90.00°
Space group Fm-3m (No. 225)
One atom of each set of equivalent atoms:
Ac: 0.0000 0.0000 0.0000 (multiplicity 4)
Ag: 0.2500 0.2500 0.2500 (multiplicity 8)
Sn: 0.0000 0.0000 0.5000 (multiplicity 4)

***

Entry 4:
DFT (PBEsol) results for an optimized crystal structure of Li2AcAl.

Results
ΔH_f (0 K) = -0.38 eV per formula unit
crystal system = cubic

Cell: 7.1268 7.1268 7.1268 Å, 90.00 90.00 90.00°
Space group Fm-3m (No. 225)
One atom of each set of equivalent atoms:
Li: 0.2500 0.2500 0.2500 (multiplicity 8)
Ac: 0.0000 0.0000 0.0000 (multiplicity 4)
Al: 0.0000 0.0000 0.5000 (multiplicity 4)

***

Entry 5:
DFT (PBEsol) results for an optimized crystal structure of AcAlO3.

Results
uncorrected energy = -8.23 eV/atom
crystal system = cubic

Cell: 3.8439 3.8439 3.8439 Å, 90.00 90.00 90.00°
Space group Pm-3m (No. 221)
One atom of each set of equivalent atoms:
Ac: 0.0000 0.0000 0.0000 (multiplicity 1)
Al: 0.5000 0.5000 0.5000 (multiplicity 1)
O: 0.0000 0.5000 0.5000 (multiplicity 3)

***

Entry 6:
DFT (PBEsol) results for an optimized crystal structure of CaAcAu2.

Results
ΔH_f (0 K) = -3.02 eV per formula unit
crystal system = cubic

Cell: 7.4429 7.4429 7.4429 Å, 90.00 90.00 90.00°
Space group Fm-3m (No. 225)
One atom of each set of equivalent atoms:
Ca: 0.0000 0.0000 0.0000 (multiplicity 4)
Ac: 0.0000 0.0000 0.5000 (multiplicity 4)
Au: 0.2500 0.2500 0.2500 (multiplicity 8)

***

Entry 7:
DFT (PBEsol) results for an optimized crystal structure of AcCdAu2.

Results
ΔH_f (0 K) = -2.31 eV per formula unit
crystal system = cubic

Cell: 7.2412 7.2412 7.2412 Å, 90.00 90.00 90.00°
Space group Fm-3m (No. 225)
One atom of each set of equivalent atoms:
Ac: 0.0000 0.0000 0.0000 (multiplicity 4)
Cd: 0.0000 0.0000 0.5000 (multiplicity 4)
Au: 0.2500 0.2500 0.2500 (multiplicity 8)

***

Entry 8:
DFT (PBEsol) results for an optimized crystal structure of Ac2IrAu.

Results
ΔH_f (0 K) = -2.26 eV per formula unit
crystal system = cubic

Cell: 7.4747 7.4747 7.4747 Å, 90.00 90.00 90.00°
Space group Fm-3m (No. 225)
One atom of each set of equivalent atoms:
Ac: 0.2500 0.2500 0.2500 (multiplicity 8)
Ir: 0.0000 0.0000 0.0000 (multiplicity 4)
Au: 0.0000 0.0000 0.5000 (multiplicity 4)

***

Entry 9:
DFT (PBEsol) results for an optimized crystal structure of NaAcAu2.

Results
ΔH_f (0 K) = -2.15 eV per formula unit
crystal system = cubic

Cell: 7.3542 7.3542 7.3542 Å, 90.00 90.00 90.00°
Space group Fm-3m (No. 225)
One atom of each set of equivalent atoms:
Na: 0.0000 0.0000 0.0000 (multiplicity 4)
Ac: 0.0000 0.0000 0.5000 (multiplicity 4)
Au: 0.2500 0.2500 0.2500 (multiplicity 8)

***

Entry 10:
DFT (PBEsol) results for an optimized crystal structure of AcPbAu2.

Results
ΔH_f (0 K) = -2.42 eV per formula unit
crystal system = cubic

Cell: 7.3636 7.3636 7.3636 Å, 90.00 90.00 90.00°
Space group Fm-3m (No. 225)
One atom of each set of equivalent atoms:
Ac: 0.0000 0.0000 0.0000 (multiplicity 4)
Pb: 0.0000 0.0000 0.5000 (multiplicity 4)
Au: 0.2500 0.2500 0.2500 (multiplicity 8)

***

Entry 11:
DFT (PBEsol) results for an optimized crystal structure of AcSbAu2.

Results
uncorrected energy = -4.89 eV/atom
crystal system = cubic

Cell: 7.3054 7.3054 7.3054 Å, 90.00 90.00 90.00°
Space group Fm-3m (No. 225)
One atom of each set of equivalent atoms:
Ac: 0.0000 0.0000 0.0000 (multiplicity 4)
Sb: 0.0000 0.0000 0.5000 (multiplicity 4)
Au: 0.2500 0.2500 0.2500 (multiplicity 8)

***

Entry 12:
DFT (PBEsol) results for an optimized crystal structure of Ac2SiAu.

Results
uncorrected energy = -5.23 eV/atom
crystal system = cubic

Cell: 7.6442 7.6442 7.6442 Å, 90.00 90.00 90.00°
Space group Fm-3m (No. 225)
One atom of each set of equivalent atoms:
Ac: 0.2500 0.2500 0.2500 (multiplicity 8)
Si: 0.0000 0.0000 0.0000 (multiplicity 4)
Au: 0.0000 0.0000 0.5000 (multiplicity 4)